1.
! PBE-GGA KLiHg2Pb, optimized geometry; values from VASP
! SG: Pmma (51)
! D(E_F), states/eV/cell: 2.69
! E above lowest polymorph, eV per formula unit: 0.00
! Energy of formation from the pure elements, eV per atom: -0.198
&SYSTEM
  ibrav = 0, nat = 10, ntyp = 4
/
ATOMIC_SPECIES
K 39.10 K.upf
Li 6.94 Li.upf
Hg 200.59 Hg.upf
Pb 207.20 Pb.upf
CELL_PARAMETERS angstrom
6.0905 0.0000 0.0000
0.0000 7.3651 0.0000
0.0000 0.0000 6.3561
ATOMIC_POSITIONS angstrom
K 1.5226 0.0000 1.3545
K 4.5679 0.0000 5.0016
Li 0.0000 3.6826 3.1781
Li 3.0453 3.6826 3.1781
Hg 1.5226 1.5983 4.4173
Hg 1.5226 5.7669 4.4173
Hg 4.5679 1.5983 1.9388
Hg 4.5679 5.7669 1.9388
Pb 1.5226 3.6826 0.5638
Pb 4.5679 3.6826 5.7923

***

2.
! PBE-GGA K2LiHg6Pd, optimized geometry; values from VASP
! SG: P-1 (2)
! D(E_F), states/eV/cell: 4.14
! Energy of formation from the pure elements, eV per atom: -0.230
&SYSTEM
  ibrav = 0, nat = 10, ntyp = 4
/
ATOMIC_SPECIES
K 39.10 K.upf
Li 6.94 Li.upf
Hg 200.59 Hg.upf
Pd 106.42 Pd.upf
CELL_PARAMETERS angstrom
7.3108 0.0000 0.0000
3.6480 6.3781 0.0000
3.6475 2.1110 6.3781
ATOMIC_POSITIONS angstrom
K 3.6603 2.1457 2.2502
K 10.9460 6.3434 4.1278
Li 0.0000 0.0000 0.0000
Hg 7.2800 6.1303 5.2034
Hg 5.7030 3.2787 5.2274
Hg 5.6946 5.2127 1.1643
Hg 8.9117 3.2764 5.2138
Hg 8.9032 5.2104 1.1507
Hg 7.3263 2.3588 1.1746
Pd 7.3031 4.2445 3.1890

***

3.
! PBE-GGA KLi2HgPt, optimized geometry; values from VASP
! SG: P4/mmm (123)
! D(E_F), states/eV/cell: 1.92
! Energy of formation from the pure elements, eV per atom: -0.258
&SYSTEM
  ibrav = 0, nat = 5, ntyp = 4
/
ATOMIC_SPECIES
K 39.10 K.upf
Li 6.94 Li.upf
Hg 200.59 Hg.upf
Pt 195.08 Pt.upf
CELL_PARAMETERS angstrom
4.9309 0.0000 0.0000
0.0000 4.9309 0.0000
0.0000 0.0000 5.3816
ATOMIC_POSITIONS angstrom
K 0.0000 0.0000 0.0000
Li 0.0000 2.4654 2.6908
Li 2.4654 0.0000 2.6908
Hg 2.4654 2.4654 0.0000
Pt 2.4654 2.4654 2.6908

***

4.
! PBE-GGA KLiHg2Pt, optimized geometry; values from VASP
! SG: P4/mmm (123)
! D(E_F), states/eV/cell: 1.49
! E above lowest polymorph, eV per formula unit: 0.00
! Energy of formation from the pure elements, eV per atom: -0.298
&SYSTEM
  ibrav = 0, nat = 5, ntyp = 4
/
ATOMIC_SPECIES
K 39.10 K.upf
Li 6.94 Li.upf
Hg 200.59 Hg.upf
Pt 195.08 Pt.upf
CELL_PARAMETERS angstrom
5.3862 0.0000 0.0000
0.0000 5.3862 0.0000
0.0000 0.0000 4.8513
ATOMIC_POSITIONS angstrom
K 0.0000 0.0000 0.0000
Li 2.6931 2.6931 0.0000
Hg 0.0000 2.6931 2.4257
Hg 2.6931 0.0000 2.4257
Pt 2.6931 2.6931 2.4257

***

5.
! PBE-GGA KLiHg2Pt, optimized geometry; values from VASP
! SG: P4/mmm (123)
! D(E_F), states/eV/cell: 1.80
! E above lowest polymorph, eV per formula unit: 3.46
! Energy of formation from the pure elements, eV per atom: 0.393
&SYSTEM
  ibrav = 0, nat = 5, ntyp = 4
/
ATOMIC_SPECIES
K 39.10 K.upf
Li 6.94 Li.upf
Hg 200.59 Hg.upf
Pt 195.08 Pt.upf
CELL_PARAMETERS angstrom
4.9021 0.0000 0.0000
0.0000 4.9021 0.0000
0.0000 0.0000 5.3405
ATOMIC_POSITIONS angstrom
K 0.0000 0.0000 0.0000
Li 0.0000 0.0000 2.6703
Hg 0.0000 2.4510 2.6703
Hg 2.4510 0.0000 2.6703
Pt 2.4510 2.4510 0.0000

***

6.
! PBE-GGA KRbLiHg2, optimized geometry; values from VASP
! SG: P4/mmm (123)
! D(E_F), states/eV/cell: 3.18
! E above lowest polymorph, eV per formula unit: 0.15
! Energy of formation from the pure elements, eV per atom: -0.054
&SYSTEM
  ibrav = 0, nat = 5, ntyp = 4
/
ATOMIC_SPECIES
K 39.10 K.upf
Rb 85.47 Rb.upf
Li 6.94 Li.upf
Hg 200.59 Hg.upf
CELL_PARAMETERS angstrom
5.5342 0.0000 0.0000
0.0000 5.5342 0.0000
0.0000 0.0000 6.0024
ATOMIC_POSITIONS angstrom
K 0.0000 0.0000 0.0000
Rb 2.7671 2.7671 0.0000
Li 2.7671 2.7671 3.0012
Hg 0.0000 2.7671 3.0012
Hg 2.7671 0.0000 3.0012

***

7.
! PBE-GGA KRbLiHg2, optimized geometry; values from VASP
! SG: P4/mmm (123)
! D(E_F), states/eV/cell: 2.85
! E above lowest polymorph, eV per formula unit: 0.00
! Energy of formation from the pure elements, eV per atom: -0.084
&SYSTEM
  ibrav = 0, nat = 5, ntyp = 4
/
ATOMIC_SPECIES
K 39.10 K.upf
Rb 85.47 Rb.upf
Li 6.94 Li.upf
Hg 200.59 Hg.upf
CELL_PARAMETERS angstrom
5.5354 0.0000 0.0000
0.0000 5.5354 0.0000
0.0000 0.0000 5.9332
ATOMIC_POSITIONS angstrom
K 0.0000 0.0000 0.0000
Rb 2.7677 2.7677 0.0000
Li 0.0000 0.0000 2.9666
Hg 0.0000 2.7677 2.9666
Hg 2.7677 0.0000 2.9666

***

8.
! PBE-GGA KRbLi2Hg, optimized geometry; values from VASP
! SG: P4/mmm (123)
! D(E_F), states/eV/cell: 3.59
! Energy of formation from the pure elements, eV per atom: 0.007
&SYSTEM
  ibrav = 0, nat = 5, ntyp = 4
/
ATOMIC_SPECIES
K 39.10 K.upf
Rb 85.47 Rb.upf
Li 6.94 Li.upf
Hg 200.59 Hg.upf
CELL_PARAMETERS angstrom
5.6300 0.0000 0.0000
0.0000 5.6300 0.0000
0.0000 0.0000 6.4985
ATOMIC_POSITIONS angstrom
K 0.0000 0.0000 0.0000
Rb 2.8150 2.8150 0.0000
Li 0.0000 2.8150 3.2492
Li 2.8150 0.0000 3.2492
Hg 0.0000 0.0000 3.2492

***

9.
! PBE-GGA KLiHgS2, optimized geometry; values from VASP
! ΔE_f (raw), eV per atom: -0.850
! SG: C2/m (12)
&SYSTEM
  ibrav = 0, nat = 10, ntyp = 4
/
ATOMIC_SPECIES
K 39.10 K.upf
Li 6.94 Li.upf
Hg 200.59 Hg.upf
S 32.06 S.upf
CELL_PARAMETERS angstrom
6.7209 -2.1166 0.0000
6.7209 2.1166 0.0000
-1.5844 0.0000 8.9937
ATOMIC_POSITIONS angstrom
K 2.0142 0.0000 1.5355
K 9.8433 0.0000 7.4581
Li 1.4527 0.0000 5.0429
Li 10.4047 0.0000 3.9508
Hg 5.6730 0.0000 2.6562
Hg 6.1845 0.0000 6.3375
S 0.4987 0.0000 7.3587
S 3.9780 0.0000 5.1492
S 7.8795 0.0000 3.8444
S 11.3587 0.0000 1.6350

***

10.
! PBE-GGA KLiHg2Sb, optimized geometry; values from VASP
! ΔE_f (raw), eV per atom: -0.176
! SG: P4/mmm (123)
! D(E_F), states/eV/cell: 4.71
&SYSTEM
  ibrav = 0, nat = 5, ntyp = 4
/
ATOMIC_SPECIES
K 39.10 K.upf
Li 6.94 Li.upf
Hg 200.59 Hg.upf
Sb 121.76 Sb.upf
CELL_PARAMETERS angstrom
5.3531 0.0000 0.0000
0.0000 5.3531 0.0000
0.0000 0.0000 5.2224
ATOMIC_POSITIONS angstrom
K 0.0000 0.0000 0.0000
Li 2.6765 2.6765 2.6112
Hg 0.0000 2.6765 2.6112
Hg 2.6765 0.0000 2.6112
Sb 2.6765 2.6765 0.0000

***

11.
! PBE-GGA KLi2HgSb, optimized geometry; values from VASP
! ΔE_f (raw), eV per atom: -0.308
! SG: P4/mmm (123)
! D(E_F), states/eV/cell: 0.06
&SYSTEM
  ibrav = 0, nat = 5, ntyp = 4
/
ATOMIC_SPECIES
K 39.10 K.upf
Li 6.94 Li.upf
Hg 200.59 Hg.upf
Sb 121.76 Sb.upf
CELL_PARAMETERS angstrom
5.3027 0.0000 0.0000
0.0000 5.3027 0.0000
0.0000 0.0000 6.7600
ATOMIC_POSITIONS angstrom
K 0.0000 0.0000 0.0000
Li 0.0000 2.6514 3.3800
Li 2.6514 0.0000 3.3800
Hg 2.6514 2.6514 0.0000
Sb 0.0000 0.0000 3.3800

***

12.
! PBE-GGA KLi2Hg2Sb2, optimized geometry; values from VASP
! ΔE_f (raw), eV per atom: -0.385
! SG: R-3m (166)
! D(E_F), states/eV/cell: 2.00
&SYSTEM
  ibrav = 0, nat = 7, ntyp = 4
/
ATOMIC_SPECIES
K 39.10 K.upf
Li 6.94 Li.upf
Hg 200.59 Hg.upf
Sb 121.76 Sb.upf
CELL_PARAMETERS angstrom
2.3991 1.3851 9.5201
-2.3991 1.3851 9.5201
0.0000 -2.7703 9.5201
ATOMIC_POSITIONS angstrom
K 0.0000 0.0000 0.0000
Li 0.0000 0.0000 4.0960
Li 0.0000 0.0000 24.4643
Hg 0.0000 0.0000 12.7943
Hg 0.0000 0.0000 15.7660
Sb 0.0000 0.0000 7.1143
Sb 0.0000 0.0000 21.4460

***

13.
! PBE-GGA KLiHgSe2, optimized geometry; values from VASP
! ΔE_f (raw), eV per atom: -0.854
! SG: C2/m (12)
&SYSTEM
  ibrav = 0, nat = 10, ntyp = 4
/
ATOMIC_SPECIES
K 39.10 K.upf
Li 6.94 Li.upf
Hg 200.59 Hg.upf
Se 78.96 Se.upf
CELL_PARAMETERS angstrom
6.8670 -2.2168 0.0000
6.8670 2.2168 0.0000
-1.5517 0.0000 9.4509
ATOMIC_POSITIONS angstrom
K 1.9440 0.0000 1.6617
K 10.2382 0.0000 7.7892
Li 1.4845 0.0000 5.3529
Li 10.6978 0.0000 4.0980
Hg 5.7208 0.0000 2.8206
Hg 6.4615 0.0000 6.6303
Se 0.5582 0.0000 7.8162
Se 4.1266 0.0000 5.3808
Se 8.0557 0.0000 4.0702
Se 11.6240 0.0000 1.6347